No. 1
# Tc5Ni24

Tc5Ni24 after structural relaxation (PBEsol, the Alexandria database).

Values from the calculation:
- Formation energy: 0.043 eV per atom
- Energy: -7.00 eV/atom
- DOS(E_F): 46.074 states/eV/cell
- Density: 9.95 g cm⁻³

Cell: 7.4378 7.4378 7.4378 Å, 109.47 109.47 109.47°
Last column: nearest neighbours and their distance in Å.
Positions (direct):
Tc1 0.0000 0.0000 0.0000  4 Tc 2.65, 12 Ni 2.69
Tc2 0.0000 0.0000 0.6443  9 Ni 2.42-2.61, 1 Tc 2.65
Tc3 0.0000 0.6443 0.0000  9 Ni 2.42-2.61, 1 Tc 2.65
Tc4 0.3557 0.3557 0.3557  9 Ni 2.42-2.61, 1 Tc 2.65
Tc5 0.6443 0.0000 0.0000  9 Ni 2.42-2.61, 1 Tc 2.65
Ni1 0.0000 0.1905 0.3781  8 Ni 2.28-2.49
Ni2 0.0000 0.3781 0.1905  8 Ni 2.28-2.49
Ni3 0.0000 0.4095 0.6840  7 Ni 2.31-2.49, 1 Tc 2.42
Ni4 0.0000 0.6840 0.4095  7 Ni 2.31-2.49, 1 Tc 2.42
Ni5 0.1876 0.8095 0.8095  8 Ni 2.28-2.49
Ni6 0.1905 0.0000 0.3781  8 Ni 2.28-2.49
Ni7 0.1905 0.3781 0.0000  8 Ni 2.28-2.49
Ni8 0.2744 0.5905 0.5905  7 Ni 2.31-2.49, 1 Tc 2.42
Ni9 0.3160 0.3160 0.7256  7 Ni 2.31-2.49, 1 Tc 2.42
Ni10 0.3160 0.7256 0.3160  7 Ni 2.31-2.49, 1 Tc 2.42
Ni11 0.3781 0.0000 0.1905  8 Ni 2.28-2.49
Ni12 0.3781 0.1905 0.0000  8 Ni 2.28-2.49
Ni13 0.4095 0.0000 0.6840  7 Ni 2.31-2.49, 1 Tc 2.42
Ni14 0.4095 0.6840 0.0000  7 Ni 2.31-2.49, 1 Tc 2.42
Ni15 0.5905 0.2744 0.5905  7 Ni 2.31-2.49, 1 Tc 2.42
Ni16 0.5905 0.5905 0.2744  7 Ni 2.31-2.49, 1 Tc 2.42
Ni17 0.6219 0.6219 0.8124  8 Ni 2.28-2.49
Ni18 0.6219 0.8124 0.6219  8 Ni 2.28-2.49
Ni19 0.6840 0.0000 0.4095  7 Ni 2.31-2.49, 1 Tc 2.42
Ni20 0.6840 0.4095 0.0000  7 Ni 2.31-2.49, 1 Tc 2.42
Ni21 0.7256 0.3160 0.3160  7 Ni 2.31-2.49, 1 Tc 2.42
Ni22 0.8095 0.1876 0.8095  8 Ni 2.28-2.49
Ni23 0.8095 0.8095 0.1876  8 Ni 2.28-2.49
Ni24 0.8124 0.6219 0.6219  8 Ni 2.28-2.49

---

No. 2
# K2OsCl

K2OsCl after structural relaxation (PBEsol, the Alexandria database).

Values from the calculation:
- Energy: -3.75 eV/atom
- ΔE to the lowest computed polymorph: 0 meV/atom
- ΔE_f (raw): 145 kJ/mol of formula units
- DOS(E_F): 2.457 states/eV/cell
- Density: 5.97 g cm⁻³

Cell: 3.1075 3.1075 10.2630 Å, 98.59 98.59 59.93°
Last column: nearest neighbours and their distance in Å.
Positions (direct):
K1 0.2396 0.2396 0.2223  3 Cl 2.87-2.88, 6 K 3.10-3.11
K2 0.7604 0.7604 0.7777  3 Cl 2.87-2.88, 6 K 3.10-3.11
Os1 0.0000 0.0000 0.5000  6 Os 3.10-3.11, 6 K 3.32-3.33
Cl1 0.5000 0.5000 0.0000  6 K 2.87-2.88, 6 Cl 3.10-3.11

---

No. 3
# SrTaSb2Te

SrTaSb2Te after structural relaxation (PBEsol, the Alexandria database).

Values from the calculation:
- Energy: -5.60 eV/atom
- ΔE_f (raw): -92 kJ/mol of formula units
- DOS(E_F): 3.178 states/eV/cell
- Density: 6.79 g cm⁻³

Cell: 5.3419 5.3419 5.4816 Å, 90.00 90.00 90.00°
Last column: nearest neighbours and their distance in Å.
Positions (direct):
Sr1 0.0000 0.0000 0.0000  4 Te 3.78, 8 Sb 3.83
Ta1 0.5000 0.5000 0.5000  4 Sb 2.67, 2 Te 2.74
Sb1 0.0000 0.5000 0.5000  2 Ta 2.67
Sb2 0.5000 0.0000 0.5000  2 Ta 2.67
Te1 0.5000 0.5000 0.0000  2 Ta 2.74

---

No. 4
# ZnRe2Ru

ZnRe2Ru after structural relaxation (PBEsol, the Alexandria database).

Values from the calculation:
- Formation energy: 0.119 eV per atom
- Energy: -9.49 eV/atom
- DOS(E_F): 3.666 states/eV/cell
- Density: 15.90 g cm⁻³

Cell: 8.9800 8.9800 8.9800 Å, 17.36 17.36 17.36°
Last column: nearest neighbours and their distance in Å.
Positions (direct):
Zn1 0.0000 0.0000 0.0000  6 Zn 2.71, 6 Re 2.75
Re1 0.2482 0.2482 0.2482  3 Ru 2.67, 6 Re 2.71, 3 Zn 2.75
Re2 0.7518 0.7518 0.7518  3 Ru 2.67, 6 Re 2.71, 3 Zn 2.75
Ru1 0.5000 0.5000 0.5000  6 Re 2.67, 6 Ru 2.71

---

No. 5
# RbBe2F5

RbBe2F5 after structural relaxation (PBEsol, the Alexandria database).

Values from the calculation:
- Energy: -5.48 eV/atom
- ΔE_f (raw): -2426 kJ/mol of formula units
- DOS(E_F): 0.000 states/eV/cell
- Density: 2.83 g cm⁻³

Cell: 4.5997 4.6456 6.7202 Å, 70.60 74.07 60.35°
Last column: nearest neighbours and their distance in Å.
Positions (direct):
Rb1 0.0000 0.0000 0.0000  8 F 2.83-3.10
Be1 0.2994 0.2084 0.4000  4 F 1.49-1.62
Be2 0.7048 0.7860 0.6011  4 F 1.49-1.62
F1 0.0029 0.4953 0.5027  2 Be 1.55
F2 0.2931 0.2626 0.1698  1 Be 1.49
F3 0.3465 0.8475 0.5566  2 Be 1.60-1.62
F4 0.6591 0.1456 0.4429  2 Be 1.60-1.62
F5 0.7061 0.7373 0.8314  1 Be 1.49

---

No. 6
# TePb4

TePb4 after structural relaxation (PBEsol, the Alexandria database).

Values from the calculation:
- Energy: -3.64 eV/atom
- ΔE to the lowest computed polymorph: 212 meV/atom
- ΔE_f (raw): 129 kJ/mol of formula units
- DOS(E_F): 3.530 states/eV/cell
- Density: 8.70 g cm⁻³

Cell: 6.1903 6.1903 6.1903 Å, 109.47 109.47 109.47°
Last column: nearest neighbours and their distance in Å.
Positions (direct):
Te1 0.0000 0.0000 0.0000  8 Pb 3.10
Pb1 0.0000 0.0000 0.5000  2 Te 3.10
Pb2 0.0000 0.5000 0.0000  2 Te 3.10
Pb3 0.5000 0.0000 0.0000  2 Te 3.10
Pb4 0.5000 0.5000 0.5000  2 Te 3.10

---

No. 7
# Sc3Si3Ni

Sc3Si3Ni after structural relaxation (PBEsol, the Alexandria database).

Values from the calculation:
- Energy: -7.10 eV/atom
- ΔE_f (raw): -626 kJ/mol of formula units
- DOS(E_F): 7.036 states/eV/cell
- Density: 4.04 g cm⁻³

Cell: 5.2497 5.2497 12.6836 Å, 108.66 108.66 44.15°
Last column: nearest neighbours and their distance in Å.
Positions (direct):
Sc1 0.0248 0.0248 0.3790  6 Si 2.70-2.86, 4 Ni 2.84-2.89
Sc2 0.1003 0.1003 0.9207  7 Si 2.72-2.91
Sc3 0.2425 0.2425 0.2264  6 Si 2.72-2.84, 2 Ni 2.99
Sc4 0.7575 0.7575 0.7736  6 Si 2.72-2.84, 2 Ni 2.99
Sc5 0.8997 0.8997 0.0793  7 Si 2.72-2.91
Sc6 0.9752 0.9752 0.6210  6 Si 2.70-2.86, 4 Ni 2.84-2.89
Si1 0.3663 0.3663 0.4544  3 Ni 2.28-2.38, 1 Si 2.46
Si2 0.3817 0.3817 0.9244  2 Si 2.43
Si3 0.4610 0.4610 0.7628  1 Ni 2.35, 1 Si 2.43
Si4 0.5390 0.5390 0.2372  1 Ni 2.35, 1 Si 2.43
Si5 0.6183 0.6183 0.0756  2 Si 2.43
Si6 0.6337 0.6337 0.5456  3 Ni 2.28-2.38, 1 Si 2.46
Ni1 0.2563 0.2563 0.5957  4 Si 2.28-2.38
Ni2 0.7437 0.7437 0.4043  4 Si 2.28-2.38

---

No. 8
# Sr2ZrRu

Sr2ZrRu after structural relaxation (PBEsol, the Alexandria database).

Values from the calculation:
- Formation energy: 0.784 eV per atom
- Energy: -4.95 eV/atom
- DOS(E_F): 5.203 states/eV/cell
- Density: 6.20 g cm⁻³

Cell: 3.3481 5.0201 5.8572 Å, 90.00 90.00 90.00°
Last column: nearest neighbours and their distance in Å.
Positions (direct):
Sr1 0.0000 0.0000 0.2365  2 Sr 2.77-3.09
Sr2 0.0000 0.0000 0.7635  2 Sr 2.77-3.09
Zr1 0.5000 0.5000 0.5000  2 Ru 2.93
Ru1 0.5000 0.5000 0.0000  2 Zr 2.93